Version w
ReNiC2: optimized geometry, GGA-PBE.

Lattice parameters (Å, degrees): 4.520 4.520 9.031 90.00 90.00 90.00
Space group I-42d (No. 122)
Inequivalent atoms, fractional coordinates:
Re1 0.000 0.000 0.000
Ni1 0.000 0.000 0.500
C1 0.249 0.250 0.625

## Properties
D(E_F) (states/eV/cell): 13.7
Spin magnetization (μB per formula unit): 0.00
Volume (Å³/atom): 11.532

Version x
ReNiC2: optimized geometry, GGA-PBE.

Lattice parameters (Å, degrees): 5.250 5.250 5.250 90.00 90.00 90.00
Space group Fm-3m (No. 225)
Inequivalent atoms, fractional coordinates:
Re1 0.000 0.000 0.000
Ni1 0.000 0.000 0.500
C1 0.250 0.250 0.250

## Properties
D(E_F) (states/eV/cell): 6.4
Spin magnetization (μB per formula unit): 0.00
Volume (Å³/atom): 9.042

Result of the stability comparison: version x is the least stable of them.

Version w
Re2Ni2C: optimized geometry, GGA-PBE.

Lattice parameters (Å, degrees): 3.018 3.018 13.196 90.00 90.00 90.00
Space group I4/mmm (No. 139)
Inequivalent atoms, fractional coordinates:
Re1 0.000 0.000 0.094
Ni1 0.000 0.500 0.250
C1 0.000 0.000 0.500

## Properties
D(E_F) (states/eV/cell): 9.0
Spin magnetization (μB per formula unit): 0.00
Volume (Å³/atom): 12.018

Version x
Re2Ni2C: optimized geometry, GGA-PBE.

Lattice parameters (Å, degrees): 5.510 5.510 4.127 90.00 90.00 90.00
Space group P4/mbm (No. 127)
Inequivalent atoms, fractional coordinates:
Re1 0.163 0.337 0.000
Ni1 0.149 0.649 0.500
C1 0.000 0.000 0.000

## Properties
D(E_F) (states/eV/cell): 10.1
Spin magnetization (μB per formula unit): 0.00
Volume (Å³/atom): 12.530

Result of the stability comparison: version w is the least stable of them.

Version w
NiRhC2: optimized geometry, GGA-PBE.

Lattice parameters (Å, degrees): 5.261 5.261 5.261 90.00 90.00 90.00
Space group Fm-3m (No. 225)
Inequivalent atoms, fractional coordinates:
Ni1 0.000 0.000 0.000
Rh1 0.000 0.000 0.500
C1 0.250 0.250 0.250

## Properties
D(E_F) (states/eV/cell): 20.4
Spin magnetization (μB per formula unit): 0.47
Volume (Å³/atom): 9.101

Version x
NiRhC2: optimized geometry, GGA-PBE.

Lattice parameters (Å, degrees): 4.472 4.472 8.973 90.00 90.00 90.00
Space group I-42d (No. 122)
Inequivalent atoms, fractional coordinates:
Ni1 0.000 0.000 0.000
Rh1 0.000 0.000 0.500
C1 0.236 0.250 0.125

## Properties
D(E_F) (states/eV/cell): 7.5
Spin magnetization (μB per formula unit): 0.00
Volume (Å³/atom): 11.215

Result of the stability comparison: version w is the least stable of them.

Version w
NiRhW2C: optimized geometry, GGA-PBE.

Lattice parameters (Å, degrees): 4.696 4.696 3.322 90.00 90.00 90.00
Space group P4/mmm (No. 123)
Inequivalent atoms, fractional coordinates:
Ni1 0.000 0.000 0.000
Rh1 0.500 0.500 0.500
W1 0.000 0.500 0.000
C1 0.000 0.000 0.500

## Properties
D(E_F) (states/eV/cell): 8.1
Spin magnetization (μB per formula unit): 0.11
Volume (Å³/atom): 14.653

Version x
NiRhW2C: optimized geometry, GGA-PBE.

Lattice parameters (Å, degrees): 4.833 4.833 3.661 90.00 90.00 90.00
Space group P4/mmm (No. 123)
Inequivalent atoms, fractional coordinates:
Ni1 0.000 0.000 0.000
Rh1 0.500 0.500 0.500
W1 0.000 0.500 0.500
C1 0.500 0.500 0.000

## Properties
D(E_F) (states/eV/cell): 7.6
Spin magnetization (μB per formula unit): 0.00
Volume (Å³/atom): 17.100

Result of the stability comparison: version x is the least stable of them.

Version w
NiCS: optimized geometry, GGA-PBE.

Lattice parameters (Å, degrees): 5.099 10.351 3.568 90.00 128.06 90.00
Space group Cm (No. 8)
Inequivalent atoms, fractional coordinates:
Ni1 0.000 0.127 0.000
C1 0.306 0.432 0.310
S1 0.017 0.333 0.272

## Properties
D(E_F) (states/eV/cell): 3.4
Spin magnetization (μB per formula unit): 0.00
Volume (Å³/atom): 12.357

Version x
NiCS: optimized geometry, GGA-PBE.

Lattice parameters (Å, degrees): 3.393 4.124 5.531 75.69 81.94 87.65
Space group P1 (No. 1)
Inequivalent atoms, fractional coordinates:
Ni1 0.000 0.000 0.000
Ni2 0.085 0.832 0.563
C1 0.237 0.171 0.255
C2 0.527 0.270 0.049
S1 0.544 0.698 0.882
S2 0.959 0.374 0.456

## Properties
D(E_F) (states/eV/cell): 1.5
Spin magnetization (μB per formula unit): 0.00
Volume (Å³/atom): 12.374

Version y
NiCS: optimized geometry, GGA-PBE.

Lattice parameters (Å, degrees): 4.508 11.019 3.776 90.00 119.31 90.00
Space group Cm (No. 8)
Inequivalent atoms, fractional coordinates:
Ni1 0.000 0.177 0.000
C1 0.140 0.439 0.826
S1 0.275 0.149 0.661

## Properties
D(E_F) (states/eV/cell): 5.0
Spin magnetization (μB per formula unit): 0.00
Volume (Å³/atom): 13.632

Version z
NiCS: optimized geometry, GGA-PBE.

Lattice parameters (Å, degrees): 3.266 4.549 5.497 107.44 105.96 95.14
Space group P1 (No. 1)
Inequivalent atoms, fractional coordinates:
Ni1 0.000 0.000 0.000
Ni2 0.374 0.209 0.741
C1 0.590 0.687 0.400
C2 0.790 0.946 0.637
S1 0.260 0.366 0.397
S2 0.507 0.698 0.068

## Properties
D(E_F) (states/eV/cell): 2.3
Spin magnetization (μB per formula unit): 0.00
Volume (Å³/atom): 12.264

Result of the stability comparison: version w is the least stable of them.

Version w
NiCS: optimized geometry, GGA-PBE.

Lattice parameters (Å, degrees): 5.802 9.136 3.360 90.00 119.59 90.00
Space group Cm (No. 8)
Inequivalent atoms, fractional coordinates:
Ni1 0.000 0.132 0.000
C1 0.239 0.500 0.942
C2 0.486 0.000 0.859
S1 0.289 0.161 0.760

## Properties
D(E_F) (states/eV/cell): 7.8
Spin magnetization (μB per formula unit): 0.00
Volume (Å³/atom): 12.906

Version x
NiCS: optimized geometry, GGA-PBE.

Lattice parameters (Å, degrees): 3.493 4.438 5.302 102.43 98.64 110.82
Space group P1 (No. 1)
Inequivalent atoms, fractional coordinates:
Ni1 0.000 0.000 0.000
Ni2 0.088 0.844 0.467
C1 0.005 0.226 0.716
C2 0.679 0.090 0.480
S1 0.299 0.658 0.807
S2 0.694 0.313 0.243

## Properties
D(E_F) (states/eV/cell): 2.9
Spin magnetization (μB per formula unit): 0.00
Volume (Å³/atom): 12.113

Result of the stability comparison: version x is the least stable of them.

Version w
NiCS: optimized geometry, GGA-PBE.

Lattice parameters (Å, degrees): 3.144 10.213 4.231 90.00 90.00 90.00
Space group Imm2 (No. 44)
Inequivalent atoms, fractional coordinates:
Ni1 0.000 0.120 0.000
C1 0.000 0.430 0.215
S1 0.000 0.337 0.866

## Properties
D(E_F) (states/eV/cell): 1.4
Spin magnetization (μB per formula unit): 0.00
Volume (Å³/atom): 11.321

Version x
NiCS: optimized geometry, GGA-PBE.

Lattice parameters (Å, degrees): 2.6061 2.6061 38.8622 90.00 90.00 120.00
Space group R-3m (No. 166, hexagonal axes)
Inequivalent atoms, fractional coordinates:
Ni1 0.0000 0.0000 0.1941
C1 0.0000 0.0000 0.3333
S1 0.0000 0.0000 0.0971

## Properties
D(E_F) (states/eV/cell): 9.2
Spin magnetization (μB per formula unit): 0.00
Volume (Å³/atom): 12.699

Result of the stability comparison: version w is the least stable of them.

Version w
Ni2SbC: optimized geometry, GGA-PBE.

Lattice parameters (Å, degrees): 4.578 4.578 11.190 90.00 90.00 90.00
Space group I-42d (No. 122)
Inequivalent atoms, fractional coordinates:
Ni1 0.109 0.250 0.125
Sb1 0.000 0.000 0.500
C1 0.000 0.000 0.000

## Properties
D(E_F) (states/eV/cell): 8.5
Spin magnetization (μB per formula unit): 0.00
Volume (Å³/atom): 14.656

Version x
Ni2SbC: optimized geometry, GGA-PBE.

Lattice parameters (Å, degrees): 5.883 5.883 5.883 90.00 90.00 90.00
Space group Fm-3m (No. 225)
Inequivalent atoms, fractional coordinates:
Ni1 0.250 0.250 0.250
Sb1 0.000 0.000 0.000
C1 0.000 0.000 0.500

## Properties
D(E_F) (states/eV/cell): 18.3
Spin magnetization (μB per formula unit): 0.00
Volume (Å³/atom): 12.726

Result of the stability comparison: version x is the least stable of them.

Version w
NiSb3C: optimized geometry, GGA-PBE.

Lattice parameters (Å, degrees): 4.669 4.669 4.669 90.00 90.00 90.00
Space group Pm-3m (No. 221)
Inequivalent atoms, fractional coordinates:
Ni1 0.000 0.000 0.000
Sb1 0.000 0.500 0.500
C1 0.500 0.500 0.500

## Properties
D(E_F) (states/eV/cell): 2.3
Spin magnetization (μB per formula unit): 0.00
Volume (Å³/atom): 20.359

Version x
NiSb3C: optimized geometry, GGA-PBE.

Lattice parameters (Å, degrees): 4.890 4.890 4.890 90.00 90.00 90.00
Space group Pm-3m (No. 221)
Inequivalent atoms, fractional coordinates:
Ni1 0.000 0.000 0.000
Sb1 0.000 0.000 0.500
C1 0.500 0.500 0.500

## Properties
D(E_F) (states/eV/cell): 3.5
Spin magnetization (μB per formula unit): 0.00
Volume (Å³/atom): 23.390

Result of the stability comparison: version x is the least stable of them.

Version w
ScNiC: optimized geometry, GGA-PBE.

Lattice parameters (Å, degrees): 5.063 9.395 5.853 90.00 90.00 90.00
Space group Cmce (No. 64)
Inequivalent atoms, fractional coordinates:
Sc1 0.000 0.185 0.099
Ni1 0.250 0.060 0.750
C1 0.000 0.077 0.470

## Properties
D(E_F) (states/eV/cell): 12.1
Spin magnetization (μB per formula unit): 0.00
Volume (Å³/atom): 11.600

Version x
ScNiC: optimized geometry, GGA-PBE.

Lattice parameters (Å, degrees): 9.851 3.149 6.663 90.00 90.00 90.00
Space group Pmma (No. 51)
Inequivalent atoms, fractional coordinates:
Sc1 0.040 0.000 0.238
Sc2 0.250 0.000 0.861
Ni1 0.132 0.500 0.528
Ni2 0.250 0.500 0.180
C1 0.074 0.500 0.979
C2 0.250 0.000 0.473

## Properties
D(E_F) (states/eV/cell): 10.1
Spin magnetization (μB per formula unit): 0.00
Volume (Å³/atom): 11.483

Result of the stability comparison: version w is the least stable of them.

Version w
Ni2CSe: optimized geometry, GGA-PBE.

Lattice parameters (Å, degrees): 5.665 5.665 5.665 90.00 90.00 90.00
Space group Fm-3m (No. 225)
Inequivalent atoms, fractional coordinates:
Ni1 0.250 0.250 0.250
C1 0.000 0.000 0.000
Se1 0.000 0.000 0.500

## Properties
D(E_F) (states/eV/cell): 12.1
Spin magnetization (μB per formula unit): 0.00
Volume (Å³/atom): 11.364

Version x
Ni2CSe: optimized geometry, GGA-PBE.

Lattice parameters (Å, degrees): 4.511 4.511 10.664 90.00 90.00 90.00
Space group I-42d (No. 122)
Inequivalent atoms, fractional coordinates:
Ni1 0.148 0.250 0.125
C1 0.000 0.000 0.000
Se1 0.000 0.000 0.500

## Properties
D(E_F) (states/eV/cell): 6.8
Spin magnetization (μB per formula unit): 0.00
Volume (Å³/atom): 13.560

Result of the stability comparison: version w is the least stable of them.